Record 1
Entry from the Alexandria database: a geometry-optimized La3S5 structure (PBE).

The value obtained for the electronic total energy is -103.1 eV for the cell shown. The calculation puts the total magnetization at 0.00 μB per cell. As for the energy relative to the elements, uncorrected: -2015 meV per atom.

Unit cell a=5.7771 b=8.7426 c=8.7426 alpha=120.00 beta=90.00 gamma=90.00
Last column: nearest neighbours and their distance in Å.
Fractional coordinates of all 16 atoms:
1 S 0.2500 0.2822 0.2822  5 La 2.88-3.11
2 S 0.7500 0.2822 0.0000  5 La 2.88-3.11
3 S 0.2500 0.7178 0.0000  5 La 2.88-3.11
4 S 0.5000 0.6667 0.3333  2 S 2.89, 6 La 3.15
5 S 0.7500 0.0000 0.2822  5 La 2.88-3.11
6 S 0.5000 0.3333 0.6667  2 S 2.89, 6 La 3.15
7 S 0.2500 0.0000 0.7178  5 La 2.88-3.11
8 S 0.0000 0.6667 0.3333  2 S 2.89, 6 La 3.15
9 S 0.0000 0.3333 0.6667  2 S 2.89, 6 La 3.15
10 S 0.7500 0.7178 0.7178  5 La 2.88-3.11
11 La 0.7500 0.6380 0.0000  9 S 2.88-3.15
12 La 0.7500 0.3620 0.3620  9 S 2.88-3.15
13 La 0.7500 0.0000 0.6380  9 S 2.88-3.15
14 La 0.2500 0.3620 0.0000  9 S 2.88-3.15
15 La 0.2500 0.6380 0.6380  9 S 2.88-3.15
16 La 0.2500 0.0000 0.3620  9 S 2.88-3.15

=====

Record 2
Entry from the Alexandria database: a geometry-optimized LaS structure (PBE).

The value obtained for the electronic total energy is -73.1 eV for the cell shown. Its energy above the most stable polymorph in this dataset is 606 meV/atom. The calculation puts the total magnetization at 0.00 μB per cell. As for the energy relative to the elements, uncorrected: -1564 meV per atom.

Unit cell a=7.9307 b=7.9307 c=7.9307 alpha=90.00 beta=90.00 gamma=90.00
Last column: nearest neighbours and their distance in Å.
Fractional coordinates of all 12 atoms:
1 La 0.0000 0.2500 0.5000  4 S 2.80
2 La 0.7500 0.5000 0.0000  4 S 2.80
3 La 0.2500 0.5000 0.0000  4 S 2.80
4 La 0.5000 0.0000 0.7500  4 S 2.80
5 La 0.0000 0.7500 0.5000  4 S 2.80
6 La 0.5000 0.0000 0.2500  4 S 2.80
7 S 0.2500 0.0000 0.5000  4 La 2.80
8 S 0.7500 0.0000 0.5000  4 La 2.80
9 S 0.5000 0.2500 0.0000  4 La 2.80
10 S 0.5000 0.7500 0.0000  4 La 2.80
11 S 0.0000 0.5000 0.2500  4 La 2.80
12 S 0.0000 0.5000 0.7500  4 La 2.80

=====

Record 3
Entry from the Alexandria database: a geometry-optimized LaS structure (PBE).

The value obtained for the electronic total energy is -77.1 eV for the cell shown. Its energy above the most stable polymorph in this dataset is 274 meV/atom. The calculation puts the total magnetization at 0.00 μB per cell. As for the energy relative to the elements, uncorrected: -1896 meV per atom.

Unit cell a=14.1168 b=4.0171 c=5.7815 alpha=90.00 beta=90.00 gamma=90.00
Last column: nearest neighbours and their distance in Å.
Fractional coordinates of all 12 atoms:
1 La 0.5000 0.0000 0.1846  6 S 3.00-3.01
2 La 0.1952 0.0000 0.2512  5 S 2.77-2.98
3 La 0.0000 0.5000 0.6846  6 S 3.00-3.01
4 La 0.3048 0.5000 0.7512  5 S 2.77-2.98
5 La 0.8048 0.0000 0.2512  5 S 2.77-2.98
6 La 0.6952 0.5000 0.7512  5 S 2.77-2.98
7 S 0.5000 0.5000 0.8002  4 La 2.77-3.00
8 S 0.3439 0.5000 0.2574  6 La 2.91-3.01
9 S 0.1561 0.0000 0.7574  6 La 2.91-3.01
10 S 0.8439 0.0000 0.7574  6 La 2.91-3.01
11 S 0.0000 0.0000 0.3002  4 La 2.77-3.00
12 S 0.6561 0.5000 0.2574  6 La 2.91-3.01

=====

Record 4
Entry from the Alexandria database: a geometry-optimized La4S structure (PBE).

The value obtained for the electronic total energy is -27.5 eV for the cell shown. The calculation puts the total magnetization at 0.00 μB per cell. As for the energy relative to the elements, uncorrected: -737 meV per atom.

Unit cell a=5.6347 b=5.6347 c=5.6347 alpha=90.00 beta=90.00 gamma=90.00
Last column: nearest neighbours and their distance in Å.
Fractional coordinates of all 5 atoms:
1 La 0.5000 0.5000 0.0000  2 S 2.82
2 La 0.0000 0.5000 0.5000  2 S 2.82
3 La 0.0000 0.0000 0.0000  12 La 3.98
4 La 0.5000 0.0000 0.5000  2 S 2.82
5 S 0.5000 0.5000 0.5000  6 La 2.82

=====

Record 5
Entry from the Alexandria database: a geometry-optimized La3S2 structure (PBE).

The value obtained for the electronic total energy is -62.1 eV for the cell shown. The calculation puts the total magnetization at 0.01 μB per cell. As for the energy relative to the elements, uncorrected: -1605 meV per atom.

Unit cell a=7.1474 b=7.1474 c=7.8916 alpha=63.07 beta=63.07 gamma=60.00
Last column: nearest neighbours and their distance in Å.
Fractional coordinates of all 10 atoms:
1 S 0.6634 0.6634 0.0098  6 La 2.89-2.94
2 S 0.8366 0.8366 0.4902  6 La 2.89-2.94
3 S 0.1634 0.1634 0.5098  6 La 2.89-2.94
4 S 0.3366 0.3366 0.9902  6 La 2.89-2.94
5 La 0.5807 0.9193 0.2500  4 S 2.89-2.94
6 La 0.9193 0.2500 0.2500  4 S 2.89-2.94
7 La 0.0807 0.7500 0.7500  4 S 2.89-2.94
8 La 0.7500 0.4193 0.7500  4 S 2.89-2.94
9 La 0.2500 0.5807 0.2500  4 S 2.89-2.94
10 La 0.4193 0.0807 0.7500  4 S 2.89-2.94

=====

Record 6
Entry from the Alexandria database: a geometry-optimized LaS structure (PBE).

The value obtained for the electronic total energy is -13.4 eV for the cell shown. Its energy above the most stable polymorph in this dataset is 0 meV/atom. The calculation puts the total magnetization at 0.00 μB per cell. As for the energy relative to the elements, uncorrected: -2169 meV per atom.

Unit cell a=4.1574 b=4.1574 c=4.1574 alpha=60.00 beta=60.00 gamma=60.00
Last column: nearest neighbours and their distance in Å.
Fractional coordinates of all 2 atoms:
1 La 0.0000 0.0000 0.0000  6 S 2.94
2 S 0.5000 0.5000 0.5000  6 La 2.94

=====

Record 7
Entry from the Alexandria database: a geometry-optimized LaS structure (PBE).

The value obtained for the electronic total energy is -96.9 eV for the cell shown. Its energy above the most stable polymorph in this dataset is 638 meV/atom. The calculation puts the total magnetization at 0.00 μB per cell. As for the energy relative to the elements, uncorrected: -1531 meV per atom.

Unit cell a=8.8036 b=8.8036 c=8.8036 alpha=90.00 beta=90.00 gamma=90.00
Last column: nearest neighbours and their distance in Å.
Fractional coordinates of all 16 atoms:
1 La 0.8315 0.1685 0.1685  4 S 2.75-2.82
2 La 0.8315 0.8315 0.8315  4 S 2.75-2.82
3 La 0.1685 0.1685 0.8315  4 S 2.75-2.82
4 La 0.6685 0.3315 0.6685  4 S 2.75-2.82
5 La 0.1685 0.8315 0.1685  4 S 2.75-2.82
6 La 0.3315 0.3315 0.3315  4 S 2.75-2.82
7 La 0.6685 0.6685 0.3315  4 S 2.75-2.82
8 La 0.3315 0.6685 0.6685  4 S 2.75-2.82
9 S 0.8491 0.8491 0.1509  4 La 2.75-2.82
10 S 0.6509 0.6509 0.6509  4 La 2.75-2.82
11 S 0.8491 0.1509 0.8491  4 La 2.75-2.82
12 S 0.1509 0.1509 0.1509  4 La 2.75-2.82
13 S 0.1509 0.8491 0.8491  4 La 2.75-2.82
14 S 0.3491 0.6509 0.3491  4 La 2.75-2.82
15 S 0.6509 0.3491 0.3491  4 La 2.75-2.82
16 S 0.3491 0.3491 0.6509  4 La 2.75-2.82

=====

Record 8
Entry from the Alexandria database: a geometry-optimized LaS structure (PBE).

The value obtained for the electronic total energy is -74.2 eV for the cell shown. Its energy above the most stable polymorph in this dataset is 516 meV/atom. The calculation puts the total magnetization at 0.00 μB per cell. As for the energy relative to the elements, uncorrected: -1653 meV per atom.

Unit cell a=4.6707 b=6.5121 c=13.7622 alpha=90.00 beta=90.00 gamma=90.00
Last column: nearest neighbours and their distance in Å.
Fractional coordinates of all 12 atoms:
1 La 0.0000 0.6930 0.5000  4 S 2.79-2.82
2 La 0.5000 0.2372 0.3193  4 S 2.84-2.88
3 La 0.0000 0.7628 0.1807  4 S 2.84-2.88
4 La 0.0000 0.7628 0.8193  4 S 2.84-2.88
5 La 0.5000 0.3070 0.0000  4 S 2.79-2.82
6 La 0.5000 0.2372 0.6807  4 S 2.84-2.88
7 S 0.0000 0.0007 0.6440  4 La 2.82-2.87
8 S 0.0000 0.0007 0.3560  4 La 2.82-2.87
9 S 0.0000 0.5408 0.0000  4 La 2.79-2.88
10 S 0.5000 0.9993 0.8560  4 La 2.82-2.87
11 S 0.5000 0.9993 0.1440  4 La 2.82-2.87
12 S 0.5000 0.4592 0.5000  4 La 2.79-2.88